Record 1
Li2AcPm2Sb2, relaxed, DFT PBE; DOS(E_F) = 5.91 states/eV/cell; space-group type = No. 166; formation energy (no corrections) = -412 kJ/mol of formula units
1.0
4.8293 0.0000 0.0000
2.4146 4.1823 0.0000
2.4146 1.3941 9.5738
Sb Li Pm Ac
2 2 2 1
Direct
0.2586 0.2586 0.2242 Sb
0.7414 0.7414 0.7758 Sb
0.5848 0.5848 0.2457 Li
0.4152 0.4152 0.7543 Li
0.1325 0.1325 0.6025 Pm
0.8675 0.8675 0.3975 Pm
0.0000 0.0000 0.0000 Ac



Record 2
Os3RuCl, relaxed, DFT PBE; DOS(E_F) = 4.39 states/eV/cell; energy relative to the lowest polymorph listed for this composition = 0.0000 eV per atom; space-group type = No. 221; formation energy (no corrections) = 975 kJ/mol of formula units
1.0
4.3013 0.0000 0.0000
0.0000 4.3013 0.0000
0.0000 0.0000 4.3013
Os Ru Cl
3 1 1
Direct
0.5000 0.0000 0.0000 Os
0.0000 0.5000 0.0000 Os
0.0000 0.0000 0.5000 Os
0.5000 0.5000 0.5000 Ru
0.0000 0.0000 0.0000 Cl



Record 3
Ac12TlAu6, relaxed, DFT PBE; DOS(E_F) = 21.85 states/eV/cell; electronic total energy = -4.2522 eV per atom; space-group type = No. 204
1.0
9.1107 0.0000 -3.2211
-4.5554 7.8901 -3.2211
0.0000 0.0000 9.6634
Ac Au Tl
12 6 1
Direct
0.5180 0.8199 0.6981 Ac
0.1801 0.3019 0.4820 Ac
0.8199 0.3019 0.1218 Ac
0.3019 0.4820 0.1801 Ac
0.8199 0.6981 0.5180 Ac
0.6981 0.5180 0.8199 Ac
0.1801 0.6981 0.8782 Ac
0.3019 0.1218 0.8199 Ac
0.4820 0.1801 0.3019 Ac
0.8782 0.1801 0.6981 Ac
0.1218 0.8199 0.3019 Ac
0.6981 0.8782 0.1801 Ac
0.8691 0.3691 0.5000 Au
0.5000 0.8691 0.3691 Au
0.6309 0.5000 0.1309 Au
0.3691 0.5000 0.8691 Au
0.1309 0.6309 0.5000 Au
0.5000 0.1309 0.6309 Au
0.0000 0.0000 0.0000 Tl



Record 4
PmHfSnHg, relaxed, DFT PBE; DOS(E_F) = 4.26 states/eV/cell; electronic total energy = -4.9906 eV per atom; space-group type = No. 216
1.0
5.1867 0.0000 0.0000
2.5934 4.4918 0.0000
2.5934 1.4973 4.2350
Hf Sn Hg Pm
1 1 1 1
Direct
0.0000 0.0000 0.0000 Hf
0.2500 0.2500 0.2500 Sn
0.7500 0.7500 0.7500 Hg
0.5000 0.5000 0.5000 Pm



> Look up the DOS(E_F) of the second one.

4.39 states/eV/cell



> DOS(E_F) of number 4 (PmHfSnHg)?

4.26 states/eV/cell